First-principles (PBE) data for RbNaSbTe2 after structural relaxation, as listed in the Alexandria database.

Computed properties:
Energy: -2.630 eV per atom

Unit cell a=6.0495 b=6.0495 c=6.2746 alpha=90.00 beta=90.00 gamma=90.00
With the nearest neighbours (Å) after each atom.
Fractional coordinates of all 5 atoms:
Rb  0.0000  0.0000  0.0000  2 Sb 3.14
Na  0.5000  0.5000  0.0000  4 Rb 4.28, 8 Te 4.36
Sb  0.0000  0.0000  0.5000  4 Te 3.02, 2 Rb 3.14
Te  0.0000  0.5000  0.5000  2 Sb 3.02
Te  0.5000  0.0000  0.5000  2 Sb 3.02

First-principles (PBE) data for Rb2NaSbTe4 after structural relaxation, as listed in the Alexandria database.

Computed properties:
Energy: -3.041 eV per atom

Unit cell a=16.0485 b=14.6226 c=8.3199 alpha=83.99 beta=64.98 gamma=31.04
With the nearest neighbours (Å) after each atom.
Fractional coordinates of all 16 atoms:
Rb  0.0656  0.0656  0.6844  4 Te 3.85-3.88
Rb  0.3156  0.3156  0.9344  4 Te 3.85-3.88
Rb  0.6844  0.6844  0.0656  4 Te 3.85-3.88
Rb  0.9344  0.9344  0.3156  4 Te 3.85-3.88
Na  0.1250  0.1250  0.1250  4 Te 3.10
Na  0.8750  0.8750  0.8750  4 Te 3.10
Sb  0.3750  0.3750  0.3750  4 Te 2.76
Sb  0.6250  0.6250  0.6250  4 Te 2.76
Te  0.0042  0.3560  0.4722  1 Sb 2.76
Te  0.3323  0.5278  0.6440  1 Sb 2.76
Te  0.3560  0.0042  0.6677  1 Sb 2.76
Te  0.4722  0.6677  0.0042  1 Sb 2.76
Te  0.5278  0.3323  0.9958  1 Sb 2.76
Te  0.6440  0.9958  0.3323  1 Sb 2.76
Te  0.6677  0.4722  0.3560  1 Sb 2.76
Te  0.9958  0.6440  0.5278  1 Sb 2.76

First-principles (PBE) data for RbNaSbTe2 after structural relaxation, as listed in the Alexandria database.

Computed properties:
Energy: -3.110 eV per atom

Unit cell a=4.4556 b=4.9057 c=8.4445 alpha=90.00 beta=90.00 gamma=90.00
With the nearest neighbours (Å) after each atom.
Fractional coordinates of all 5 atoms:
Rb  0.0000  0.0000  0.0000  8 Te 3.91
Na  0.5000  0.0000  0.5000  4 Te 3.26, 4 Sb 3.31
Sb  0.0000  0.5000  0.5000  4 Te 3.09, 4 Na 3.31
Te  0.5000  0.5000  0.2462  2 Sb 3.09, 2 Na 3.26
Te  0.5000  0.5000  0.7538  2 Sb 3.09, 2 Na 3.26

First-principles (PBE) data for RbNaTlSb after structural relaxation, as listed in the Alexandria database.

Computed properties:
Energy: -2.446 eV per atom

Unit cell a=5.7448 b=5.7448 c=5.7448 alpha=60.00 beta=60.00 gamma=60.00
With the nearest neighbours (Å) after each atom.
Fractional coordinates of all 4 atoms:
Rb  0.0000  0.0000  0.0000  4 Na 3.52, 4 Tl 3.52
Na  0.7500  0.7500  0.7500  4 Rb 3.52, 4 Sb 3.52
Tl  0.2500  0.2500  0.2500  4 Sb 3.52, 4 Rb 3.52
Sb  0.5000  0.5000  0.5000  4 Na 3.52, 4 Tl 3.52

First-principles (PBE) data for RbNaTlSb2 after structural relaxation, as listed in the Alexandria database.

Computed properties:
Energy: -2.818 eV per atom

Unit cell a=8.2202 b=8.2202 c=8.2202 alpha=149.47 beta=141.46 gamma=49.94
With the nearest neighbours (Å) after each atom.
Fractional coordinates of all 5 atoms:
Rb  0.0000  0.0000  0.0000  4 Tl 3.86, 6 Sb 3.87-4.27, 2 Na 3.99
Na  0.2248  0.7248  0.5000  6 Sb 3.17-3.50, 2 Tl 3.24
Tl  0.3866  0.3866  0.0000  2 Na 3.24, 3 Sb 3.36-3.39
Sb  0.6142  0.6142  0.0000  2 Sb 3.00, 2 Na 3.17
Sb  0.7533  0.2533  0.5000  2 Sb 3.00

First-principles (PBE) data for Rb2NaTl4Sb3 after structural relaxation, as listed in the Alexandria database.

Computed properties:
Energy: -2.687 eV per atom

Unit cell a=5.1380 b=5.1380 c=14.0985 alpha=90.00 beta=90.00 gamma=90.00
With the nearest neighbours (Å) after each atom.
Fractional coordinates of all 10 atoms:
Rb  0.0000  0.5000  0.2370  4 Sb 3.94, 8 Tl 4.04-4.22
Rb  0.5000  0.0000  0.7630  4 Sb 3.94, 8 Tl 4.04-4.22
Na  0.0000  0.0000  0.5000  4 Tl 3.22
Tl  0.0000  0.0000  0.0000  4 Sb 3.15
Tl  0.0000  0.5000  0.6381  3 Sb 3.22-3.28, 2 Na 3.22
Tl  0.5000  0.0000  0.3619  2 Na 3.22, 3 Sb 3.22-3.28
Tl  0.5000  0.5000  0.0000  4 Sb 3.15
Sb  0.0000  0.5000  0.8707  5 Tl 3.15-3.28
Sb  0.5000  0.0000  0.1293  5 Tl 3.15-3.28
Sb  0.5000  0.5000  0.5000  4 Tl 3.22

> Number 3 is which compound?

RbNaSbTe2

> What is the formula in the fourth record?

RbNaTlSb

What did the third record say?
First-principles (PBE) data for RbNaSbTe2 after structural relaxation, as listed in the Alexandria database.

Computed properties:
Energy: -3.110 eV per atom

Unit cell a=4.4556 b=4.9057 c=8.4445 alpha=90.00 beta=90.00 gamma=90.00
With the nearest neighbours (Å) after each atom.
Fractional coordinates of all 5 atoms:
Rb  0.0000  0.0000  0.0000  8 Te 3.91
Na  0.5000  0.0000  0.5000  4 Te 3.26, 4 Sb 3.31
Sb  0.0000  0.5000  0.5000  4 Te 3.09, 4 Na 3.31
Te  0.5000  0.5000  0.2462  2 Sb 3.09, 2 Na 3.26
Te  0.5000  0.5000  0.7538  2 Sb 3.09, 2 Na 3.26